Cr2InFe after structural relaxation. Source: Alexandria, functional GGA-PBE.

Geometry as extended XYZ:
```
4
Lattice="-2.7194 -0.8385 -1.0298 1.3273 -1.6407 -2.1691 0.0870 -4.8910 3.7526" Properties=species:S:1:pos:R:3 pbc="T T T"
Fe 0.0398 -2.2374 1.7166
Cr 0.0046 -0.2607 0.2000
Cr -0.6746 -2.4453 -0.6744
In -0.6314 -4.8723 1.1877
```

Output
ρ = 8.1 Mg/m³
Energy = -0.540 Ry/atom
Size of the total moment = 2.83 μB/f.u.
ΔE_f = 0.264 eV per atom